The following is a PBEsol calculation of Ta3C after structural relaxation, from the Alexandria database.

a = 5.211 Å, b = 5.211 Å, c = 5.211 Å
α = 139.41°, β = 139.41°, γ = 58.75°
Sites, in units of the cell vectors:
Ta (0.000, 0.000, 0.000)
Ta (0.250, 0.750, 0.500)
Ta (0.750, 0.250, 0.500)
C (0.500, 0.500, 0.000)

Output
calculated volume = 14.836 Å³ per atom
ΔH_f (0 K) = 974.0 meV per atom
N(E_F) = 0.987 states/eV/atom